Entry 1:
Here is a relaxed Sr2TcOs crystal from Alexandria. Energies are from PBE.

As for the symmetry: I-42d. As for the magnetization: 4.28 Bohr magnetons per cell. Its calculated total energy is -42.8 eV for the cell shown. The value obtained for the offset from the most stable computed form is 1.55 eV/f.u. The calculation puts the energy of formation from the pure elements at 0.88 eV/atom. As for the mass density: 5.06 g/cm3.

Lattice parameters (Å, degrees): 11.402 11.402 8.394 47.22 47.22 90.00
Site moments in Bohr magnetons follow the coordinates.
Sites, in units of the cell vectors:
Sr (0.950, 0.625, 0.250)  0.01
Os (0.750, 0.250, 0.500)  0.32
Tc (0.250, 0.750, 0.500)  1.48
Sr (0.375, 0.200, 0.750)  0.01
Tc (0.500, 0.500, 0.000)  1.47
Sr (0.875, 0.050, 0.750)  0.01
Os (0.000, 0.000, 0.000)  0.33
Sr (0.800, 0.125, 0.250)  0.01

---

Entry 2:
Here is a relaxed LiCuBr crystal from Alexandria. Energies are from PBE.

As for the symmetry: Fmm2. As for the magnetization: 0.00 Bohr magnetons per cell. Its calculated total energy is -8.1 eV for the cell shown. The value obtained for the offset from the most stable computed form is 0.44 eV/f.u. As for the mass density: 4.15 g/cm3.

Lattice parameters (Å, degrees): 6.266 5.868 3.443 79.98 67.26 32.76
Sites, in units of the cell vectors:
Cu (0.661, 0.661, 0.339)
Li (0.344, 0.344, 0.656)
Br (0.995, 0.995, 0.005)

---

Entry 3:
Here is a relaxed Rb2BePb crystal from Alexandria. Energies are from PBE.

As for the symmetry: Fm-3m. As for the magnetization: 0.00 Bohr magnetons per cell. Its calculated total energy is -6.4 eV for the cell shown. The value obtained for the offset from the most stable computed form is 1.87 eV/f.u. The calculation puts the energy of formation from the pure elements at 0.74 eV/atom. As for the mass density: 3.98 g/cm3.

Lattice parameters (Å, degrees): 6.113 6.113 6.113 60.00 60.00 60.00
Sites, in units of the cell vectors:
Rb (0.250, 0.250, 0.250)
Be (0.000, 0.000, 0.000)
Rb (0.750, 0.750, 0.750)
Pb (0.500, 0.500, 0.500)

---

Entry 4:
Here is a relaxed NaZnCd2Pd crystal from Alexandria. Energies are from PBE.

As for the symmetry: P4/mmm. As for the magnetization: 0.00 Bohr magnetons per cell. Its calculated total energy is -10.1 eV for the cell shown. The calculation puts the energy of formation from the pure elements at -0.09 eV/atom. As for the mass density: 5.22 g/cm3.

Lattice parameters (Å, degrees): 5.232 5.232 4.876 90.00 90.00 90.00
Sites, in units of the cell vectors:
Zn (0.000, 0.000, 0.500)
Cd (0.500, 0.000, 0.000)
Pd (0.000, 0.000, 0.000)
Cd (0.000, 0.500, 0.000)
Na (0.500, 0.500, 0.500)